La6Tb5Ho: optimized geometry, PBE.

a b c (Å): 9.6648 9.6648 9.6648
angles (deg): 148.60 117.32 71.78
Sites, in units of the cell vectors:
La: 0.0831 0.3335 0.7496
La: 0.2493 0.0000 0.2493
La: 0.4161 0.6665 0.7496
La: 0.5839 0.3335 0.2504
La: 0.7507 0.0000 0.7507
La: 0.9169 0.6665 0.2504
Tb: 0.1666 0.1666 0.0000
Tb: 0.3335 0.8335 0.5000
Tb: 0.5000 0.5000 0.0000
Tb: 0.6665 0.1665 0.5000
Tb: 0.8334 0.8334 0.0000
Ho: 0.0000 0.5000 0.5000

ρ ... 7.2 g/cm³
Formation enthalpy at 0 K ... 0.02 eV per atom
N(E_F) ... 1.390 states/eV per atom
Spin magnetization ... 0.0 μB per cell
Relative energy among the computed polymorphs ... 0 kJ/mol of formula units
Crystal system ... orthorhombic